# 1
This record from Alexandria describes a geometry-optimized Cs2CeAg2I6 structure. The functional is GGA-PBE.

Unit cell a=9.464 b=8.411 c=8.998 alpha=110.33 beta=90.00 gamma=124.24
Last column: magnetic moment on the atom in μB.
Fractional positions:
Cs 0.718 0.435 0.169  0.00
Cs 0.282 0.565 0.831  0.00
Ce 0.500 0.000 0.500  1.06
Ag 0.961 0.922 0.619  0.02
Ag 0.039 0.078 0.381  0.02
I 0.747 0.494 0.616  -0.01
I 0.237 0.930 0.223  0.00
I 0.307 0.070 0.777  0.00
I 0.763 0.070 0.777  0.00
I 0.693 0.930 0.223  0.00
I 0.253 0.506 0.384  -0.01

Results
The value obtained for the total energy is -3.027 eV per atom. The value obtained for the volume is 537.3 Å³ per cell. The mass density is 4.27 Mg/m³. The total magnetization comes out at 0.1100 μB/atom. Its formation energy without anion corrections is -0.969 eV/atom.

# 2
This record from Alexandria describes a geometry-optimized Cs3CeAg2I8 structure. The functional is GGA-PBE.

Unit cell a=8.674 b=8.674 c=11.077 alpha=90.00 beta=90.00 gamma=120.00
Last column: magnetic moment on the atom in μB.
Fractional positions:
Cs 0.333 0.667 0.621  0.00
Cs 0.667 0.333 0.379  0.00
Cs 0.000 0.000 0.000  0.00
Ce 0.000 0.000 0.500  1.00
Ag 0.333 0.667 0.193  0.00
Ag 0.667 0.333 0.807  0.00
I 0.333 0.667 0.951  0.00
I 0.667 0.333 0.049  0.00
I 0.166 0.834 0.329  -0.01
I 0.834 0.166 0.671  -0.01
I 0.166 0.331 0.329  -0.01
I 0.834 0.669 0.671  -0.01
I 0.669 0.834 0.329  -0.01
I 0.331 0.166 0.671  -0.01

Results
The value obtained for the total energy is -2.986 eV per atom. The value obtained for the volume is 721.8 Å³ per cell. The mass density is 4.07 Mg/m³. The total magnetization comes out at 0.0714 μB/atom. Its formation energy without anion corrections is -1.086 eV/atom.

# 3
This record from Alexandria describes a geometry-optimized CsCeAg2S4 structure. The functional is GGA-PBE.

Unit cell a=6.996 b=6.717 c=6.717 alpha=62.84 beta=58.62 gamma=58.62
Fractional positions:
Cs 0.000 0.000 0.000
Ce 0.500 0.500 0.500
Ag 0.249 0.251 0.251
Ag 0.751 0.749 0.749
S 0.485 0.109 0.515
S 0.109 0.891 0.485
S 0.891 0.515 0.109
S 0.515 0.485 0.891

Results
The value obtained for the total energy is -4.376 eV per atom. The value obtained for the volume is 222.5 Å³ per cell. The mass density is 4.60 Mg/m³. The total magnetization comes out at 0.0000 μB/atom. Its formation energy without anion corrections is -0.751 eV/atom.

# 4
This record from Alexandria describes a geometry-optimized Cs4Ce3AgS8 structure. The functional is GGA-PBE.

Unit cell a=8.411 b=9.360 c=8.412 alpha=116.71 beta=119.99 gamma=90.00
Last column: magnetic moment on the atom in μB.
Fractional positions:
Cs 0.500 0.000 0.000  0.00
Cs 0.500 0.000 0.500  0.00
Cs 0.000 0.000 0.000  0.00
Cs 0.000 0.000 0.500  0.00
Ce 0.500 0.500 0.000  0.42
Ce 0.500 0.500 0.500  0.42
Ce 0.000 0.500 0.500  0.42
Ag 0.000 0.500 0.000  -0.01
S 0.235 0.681 0.946  -0.02
S 0.236 0.681 0.471  -0.02
S 0.272 0.315 0.544  -0.01
S 0.711 0.681 0.946  -0.02
S 0.289 0.319 0.054  -0.02
S 0.728 0.685 0.456  -0.01
S 0.764 0.319 0.529  -0.02
S 0.765 0.319 0.054  -0.02

Results
The value obtained for the total energy is -5.036 eV per atom. The value obtained for the volume is 490.3 Å³ per cell. The mass density is 4.46 Mg/m³. The total magnetization comes out at 0.0699 μB/atom. Its formation energy without anion corrections is -1.468 eV/atom.

# 5
This record from Alexandria describes a geometry-optimized CsCe2AgS5 structure. The functional is GGA-PBE.

Unit cell a=7.815 b=7.815 c=9.257 alpha=114.97 beta=114.97 gamma=90.00
Last column: magnetic moment on the atom in μB.
Fractional positions:
Cs 0.250 0.250 0.500  0.00
Cs 0.750 0.750 0.500  0.00
Ce 0.166 0.334 0.000  0.21
Ce 0.666 0.166 0.000  0.21
Ce 0.334 0.834 0.000  0.21
Ce 0.834 0.666 0.000  0.21
Ag 0.250 0.750 0.500  -0.01
Ag 0.750 0.250 0.500  -0.01
S 0.972 0.472 0.229  -0.02
S 0.743 0.243 0.771  -0.02
S 0.028 0.528 0.771  -0.02
S 0.243 0.028 0.771  -0.02
S 0.528 0.743 0.771  -0.02
S 0.757 0.972 0.229  -0.02
S 0.472 0.257 0.229  -0.02
S 0.257 0.757 0.229  -0.02
S 0.500 0.500 0.000  -0.03
S 0.000 0.000 0.000  -0.03

Results
The value obtained for the total energy is -5.443 eV per atom. The value obtained for the volume is 453.6 Å³ per cell. The mass density is 4.99 Mg/m³. The total magnetization comes out at 0.0332 μB/atom. Its formation energy without anion corrections is -1.420 eV/atom.

# 6
This record from Alexandria describes a geometry-optimized Cs2CeAg2S4 structure. The functional is GGA-PBE.

Unit cell a=4.244 b=8.209 c=7.950 alpha=107.95 beta=105.48 gamma=90.00
Last column: magnetic moment on the atom in μB.
Fractional positions:
Cs 0.137 0.567 0.275  0.00
Cs 0.863 0.433 0.725  0.00
Ce 0.000 0.000 0.000  -0.18
Ag 0.678 0.983 0.356  0.00
Ag 0.322 0.017 0.644  0.00
S 0.188 0.170 0.376  0.01
S 0.812 0.830 0.624  0.01
S 0.512 0.783 0.025  0.01
S 0.488 0.217 0.975  0.01

Results
The value obtained for the total energy is -4.433 eV per atom. The value obtained for the volume is 252.9 Å³ per cell. The mass density is 4.92 Mg/m³. The total magnetization comes out at 0.0148 μB/atom. Its formation energy without anion corrections is -1.116 eV/atom.

# 7
This record from Alexandria describes a geometry-optimized CsCeAgS4 structure. The functional is GGA-PBE.

Unit cell a=7.363 b=5.388 c=10.258 alpha=90.00 beta=107.99 gamma=90.00
Fractional positions:
Cs 0.751 0.750 0.969
Cs 0.249 0.250 0.031
Ce 0.710 0.750 0.445
Ce 0.290 0.250 0.555
Ag 0.247 0.750 0.306
Ag 0.753 0.250 0.694
S 0.020 0.556 0.681
S 0.980 0.056 0.319
S 0.980 0.444 0.319
S 0.020 0.944 0.681
S 0.490 0.750 0.189
S 0.510 0.250 0.811
S 0.420 0.750 0.565
S 0.580 0.250 0.435

Results
The value obtained for the total energy is -4.768 eV per atom. The value obtained for the volume is 387.1 Å³ per cell. The mass density is 4.37 Mg/m³. The total magnetization comes out at 0.0000 μB/atom. Its formation energy without anion corrections is -1.032 eV/atom.

# 8
This record from Alexandria describes a geometry-optimized CsCe2AgS4 structure. The functional is GGA-PBE.

Unit cell a=4.235 b=7.478 c=14.508 alpha=90.00 beta=90.00 gamma=106.45
Last column: magnetic moment on the atom in μB.
Fractional positions:
Cs 0.111 0.223 0.750  0.00
Cs 0.889 0.777 0.250  0.00
Ce 0.370 0.739 0.561  0.93
Ce 0.630 0.261 0.061  0.93
Ce 0.630 0.261 0.439  0.93
Ce 0.370 0.739 0.939  0.93
Ag 0.834 0.668 0.750  0.00
Ag 0.166 0.332 0.250  0.00
S 0.257 0.513 0.100  -0.02
S 0.743 0.487 0.600  -0.02
S 0.743 0.487 0.900  -0.02
S 0.257 0.513 0.400  -0.02
S 0.000 0.000 0.500  -0.03
S 0.000 0.000 0.000  -0.03
S 0.429 0.858 0.750  -0.02
S 0.571 0.142 0.250  -0.02

Results
The value obtained for the total energy is -5.543 eV per atom. The value obtained for the volume is 440.6 Å³ per cell. The mass density is 4.89 Mg/m³. The total magnetization comes out at 0.2515 μB/atom. Its formation energy without anion corrections is -1.533 eV/atom.